Entry 1:
Material: Ca2HgCl
Method: DFT, PBE-GGA
State: optimized geometry

Values from the calculation:
The uncorrected formation energy comes out at -1.02 eV per atom. The energy above the most stable polymorph in this dataset is 0.058 eV per atom. The crystal system is trigonal.

Structure (POSCAR):
```
Ca2HgCl
1.0
3.9779 0.0000 0.0000
-1.9890 3.4450 0.0000
0.0000 0.0000 25.2224
Ca Hg Cl
6 3 3
direct
0.0000 0.0000 0.0000 Ca
0.0000 0.0000 0.1685 Ca
0.3333 0.6667 0.6667 Ca
0.3333 0.6667 0.8352 Ca
0.6667 0.3333 0.3333 Ca
0.6667 0.3333 0.5019 Ca
0.0000 0.0000 0.5843 Hg
0.3333 0.6667 0.2510 Hg
0.6667 0.3333 0.9176 Hg
0.0000 0.0000 0.7569 Cl
0.3333 0.6667 0.4236 Cl
0.6667 0.3333 0.0902 Cl
```

=====

Entry 2:
Material: Pm2NdPb3
Method: DFT, PBE-GGA
State: optimized geometry

Values from the calculation:
The calculation puts the formation energy at -0.51 eV per atom. The energy above the most stable polymorph in this dataset is 0.000 eV per atom. The crystal system is orthorhombic.

Structure (POSCAR):
```
Pm2NdPb3
1.0
2.5238 -7.7091 0.0000
2.5238 7.7091 0.0000
0.0000 0.0000 9.1996
Pm Nd Pb
4 2 6
direct
0.0000 0.0000 0.0000 Pm
0.0000 0.0000 0.5000 Pm
0.3333 0.6667 0.0000 Pm
0.6667 0.3333 0.0000 Pm
0.3336 0.6664 0.5000 Nd
0.6664 0.3336 0.5000 Nd
0.1663 0.8337 0.2489 Pb
0.1663 0.8337 0.7511 Pb
0.5000 0.5000 0.2491 Pb
0.5000 0.5000 0.7509 Pb
0.8337 0.1663 0.2489 Pb
0.8337 0.1663 0.7511 Pb
```

=====

Entry 3:
Material: FeMo2
Method: DFT, PBE-GGA
State: optimized geometry

Values from the calculation:
The calculation puts the formation energy at 0.74 eV per atom. The crystal system is cubic.

Structure (POSCAR):
```
FeMo2
1.0
5.7282 0.0000 0.0000
0.0000 5.7282 0.0000
0.0000 0.0000 5.7282
Fe Mo
4 8
direct
0.0000 0.0000 0.0000 Fe
0.0000 0.5000 0.5000 Fe
0.5000 0.0000 0.5000 Fe
0.5000 0.5000 0.0000 Fe
0.1311 0.6311 0.8689 Mo
0.1311 0.8689 0.3689 Mo
0.3689 0.1311 0.8689 Mo
0.3689 0.3689 0.3689 Mo
0.6311 0.6311 0.6311 Mo
0.6311 0.8689 0.1311 Mo
0.8689 0.1311 0.6311 Mo
0.8689 0.3689 0.1311 Mo
```

=====

Entry 4:
Material: PuZnAs
Method: DFT, PBE-GGA
State: optimized geometry

Values from the calculation:
The calculation puts the formation energy at -0.49 eV per atom. The crystal system is tetragonal.

Structure (POSCAR):
```
PuZnAs
1.0
4.0554 0.0000 0.0000
0.0000 4.0554 0.0000
0.0000 0.0000 8.4856
Pu Zn As
2 2 2
direct
0.2500 0.2500 0.1859 Pu
0.7500 0.7500 0.8141 Pu
0.2500 0.2500 0.5498 Zn
0.7500 0.7500 0.4502 Zn
0.2500 0.2500 0.8463 As
0.7500 0.7500 0.1537 As
```

=====

Entry 5:
Material: BeNbAg
Method: DFT, PBE-GGA
State: optimized geometry

Values from the calculation:
The calculation puts the formation energy at -0.02 eV per atom. The energy above the most stable polymorph in this dataset is 0.000 eV per atom. The crystal system is orthorhombic.

Structure (POSCAR):
```
BeNbAg
1.0
3.4797 0.0000 0.0000
0.0000 14.8610 0.0000
0.0000 0.0000 3.4103
Be Nb Ag
4 4 4
direct
0.0000 0.0383 0.2500 Be
0.0000 0.9617 0.7500 Be
0.5000 0.4617 0.7500 Be
0.5000 0.5383 0.2500 Be
0.0000 0.4142 0.2500 Nb
0.0000 0.5858 0.7500 Nb
0.5000 0.0858 0.7500 Nb
0.5000 0.9142 0.2500 Nb
0.0000 0.2015 0.2500 Ag
0.0000 0.7985 0.7500 Ag
0.5000 0.2985 0.7500 Ag
0.5000 0.7015 0.2500 Ag
```

=====

Entry 6:
Material: TiFeIN2
Method: DFT, PBE-GGA
State: optimized geometry

Values from the calculation:
The uncorrected formation energy comes out at 1.00 eV per atom. The energy above the most stable polymorph in this dataset is 0.348 eV per atom. The crystal system is tetragonal.

Structure (POSCAR):
```
TiFeIN2
1.0
3.7880 0.0000 0.0000
0.0000 3.7880 0.0000
0.0000 0.0000 5.3238
Ti Fe I N
1 1 1 2
direct
0.0000 0.0000 0.0000 Ti
0.5000 0.5000 0.5000 Fe
0.5000 0.5000 0.0000 I
0.0000 0.5000 0.5000 N
0.5000 0.0000 0.5000 N
```

=====

Entry 7:
Material: Li2Mg3Al7
Method: DFT, PBE-GGA
State: optimized geometry

Values from the calculation:
The calculation puts the formation energy at -0.01 eV per atom. The crystal system is trigonal.

Structure (POSCAR):
```
Li2Mg3Al7
1.0
2.7193 1.5700 8.7823
-2.7193 1.5700 8.7823
0.0000 -3.1400 8.7823
Li Mg Al
2 3 7
direct
0.1661 0.1661 0.1661 Li
0.8339 0.8339 0.8339 Li
0.3565 0.3565 0.3565 Mg
0.5000 0.5000 0.5000 Mg
0.6435 0.6435 0.6435 Mg
0.0000 0.0000 0.0000 Al
0.0856 0.0856 0.5796 Al
0.0856 0.5796 0.0856 Al
0.4204 0.9144 0.9144 Al
0.5796 0.0856 0.0856 Al
0.9144 0.4204 0.9144 Al
0.9144 0.9144 0.4204 Al
```

=====

Entry 8:
Material: Ac3Ga2Sn3
Method: DFT, PBE-GGA
State: optimized geometry

Values from the calculation:
The calculation puts the formation energy at -0.56 eV per atom. The energy above the most stable polymorph in this dataset is 0.035 eV per atom. The crystal system is orthorhombic.

Structure (POSCAR):
```
Ac3Ga2Sn3
1.0
2.5052 -6.0012 0.0000
2.5052 6.0012 0.0000
0.0000 0.0000 16.3976
Ac Ga Sn
6 4 6
direct
0.0869 0.9131 0.7500 Ac
0.1475 0.8525 0.0450 Ac
0.1475 0.8525 0.4550 Ac
0.8525 0.1475 0.5450 Ac
0.8525 0.1475 0.9550 Ac
0.9131 0.0869 0.2500 Ac
0.3564 0.6436 0.6686 Ga
0.3564 0.6436 0.8314 Ga
0.6436 0.3564 0.1686 Ga
0.6436 0.3564 0.3314 Ga
0.2015 0.7985 0.2500 Sn
0.4394 0.5606 0.0860 Sn
0.4394 0.5606 0.4140 Sn
0.5606 0.4394 0.5860 Sn
0.5606 0.4394 0.9140 Sn
0.7985 0.2015 0.7500 Sn
```

=====

Entry 9:
Material: Y2ErTi
Method: DFT, PBE-GGA
State: optimized geometry

Values from the calculation:
The calculation puts the formation energy at 0.21 eV per atom. The energy above the most stable polymorph in this dataset is 0.030 eV per atom. The crystal system is trigonal.

Structure (POSCAR):
```
Y2ErTi
1.0
3.4266 0.0000 0.0000
-1.7133 2.9675 0.0000
0.0000 0.0000 32.6563
Y Er Ti
6 3 3
direct
0.0000 0.0000 0.0000 Y
0.0000 0.0000 0.1811 Y
0.3333 0.6667 0.6667 Y
0.3333 0.6667 0.8478 Y
0.6667 0.3333 0.3333 Y
0.6667 0.3333 0.5144 Y
0.0000 0.0000 0.4239 Er
0.3333 0.6667 0.0906 Er
0.6667 0.3333 0.7573 Er
0.0000 0.0000 0.5902 Ti
0.3333 0.6667 0.2569 Ti
0.6667 0.3333 0.9235 Ti
```

=====

Entry 10:
Material: Hf2ZnCrAg
Method: DFT, PBE-GGA
State: optimized geometry

Values from the calculation:
The calculation puts the formation energy at 0.60 eV per atom. The crystal system is tetragonal.

Structure (POSCAR):
```
Hf2ZnCrAg
1.0
4.6717 0.0000 0.0000
0.0000 4.6717 0.0000
0.0000 0.0000 4.7628
Hf Zn Cr Ag
2 1 1 1
direct
0.0000 0.5000 0.0000 Hf
0.5000 0.0000 0.0000 Hf
0.0000 0.0000 0.5000 Zn
0.0000 0.0000 0.0000 Cr
0.5000 0.5000 0.5000 Ag
```

=====

Entry 11:
Material: RbCeSiO4
Method: DFT, PBE-GGA
State: optimized geometry

Values from the calculation:
The uncorrected formation energy comes out at -2.79 eV per atom. The crystal system is monoclinic.

Structure (POSCAR):
```
RbCeSiO4
1.0
5.8723 0.0000 0.0000
0.0000 5.7893 0.0000
-2.1104 0.0000 7.3793
Rb Ce Si O
2 2 2 8
direct
0.1988 0.2500 0.4289 Rb
0.8012 0.7500 0.5711 Rb
0.2724 0.2500 0.9529 Ce
0.7276 0.7500 0.0471 Ce
0.2604 0.7500 0.1628 Si
0.7396 0.2500 0.8372 Si
0.0833 0.7500 0.9529 O
0.0853 0.7500 0.2964 O
0.4418 0.5257 0.1841 O
0.4418 0.9743 0.1841 O
0.5582 0.0257 0.8159 O
0.5582 0.4743 0.8159 O
0.9147 0.2500 0.7036 O
0.9167 0.2500 0.0471 O
```

=====

Entry 12:
Material: LiMn2Al
Method: DFT, PBE-GGA
State: optimized geometry

Values from the calculation:
The calculation puts the formation energy at 0.10 eV per atom. The crystal system is monoclinic.

Structure (POSCAR):
```
LiMn2Al
1.0
9.4794 0.0000 0.0000
0.0000 2.7036 0.0000
-1.8256 0.0000 4.1224
Li Mn Al
2 4 2
direct
0.0000 0.0000 0.0000 Li
0.5000 0.5000 0.0000 Li
0.2578 0.5000 0.3892 Mn
0.4958 0.0000 0.4931 Mn
0.7578 0.0000 0.3892 Mn
0.9958 0.5000 0.4931 Mn
0.2440 0.0000 0.8755 Al
0.7440 0.5000 0.8755 Al
```